[1]
DFT (PBE) results for a geometry-optimized NdThInHg structure.

DFT total energy ... -66.14 eV/cell
Density of states at the Fermi level ... 1.233 states/eV per atom
ΔE_f ... -0.327 eV per atom
Total moment ... 0.001 Bohr magnetons per cell

Unit cell a=7.719 b=7.719 c=7.719 alpha=90.00 beta=90.00 gamma=90.00
Sites, in units of the cell vectors:
Nd  0.000  0.000  0.000
Nd  0.000  0.500  0.500
Nd  0.500  0.000  0.500
Nd  0.500  0.500  0.000
Th  0.000  0.000  0.500
Th  0.000  0.500  0.000
Th  0.500  0.000  0.000
Th  0.500  0.500  0.500
In  0.250  0.250  0.750
In  0.250  0.750  0.250
In  0.750  0.250  0.250
In  0.750  0.750  0.750
Hg  0.250  0.250  0.250
Hg  0.250  0.750  0.750
Hg  0.750  0.250  0.750
Hg  0.750  0.750  0.250

[2]
DFT (PBE) results for a geometry-optimized La3Pr5Sm4 structure.

DFT total energy ... -54.88 eV/cell
Density of states at the Fermi level ... 1.521 states/eV per atom
ΔE_f ... 0.223 eV per atom
Total moment ... 0.240 Bohr magnetons per cell

Unit cell a=9.766 b=9.766 c=9.044 alpha=117.46 beta=117.46 gamma=35.50
Sites, in units of the cell vectors:
La  0.000  0.000  0.000
La  0.315  0.315  0.779
La  0.685  0.685  0.221
Pr  0.101  0.101  0.428
Pr  0.162  0.162  0.886
Pr  0.500  0.500  0.000
Pr  0.838  0.838  0.114
Pr  0.899  0.899  0.572
Sm  0.298  0.298  0.352
Sm  0.467  0.467  0.301
Sm  0.533  0.533  0.699
Sm  0.702  0.702  0.648